Na4GeO4 | GGA-PBEsol | relaxed

CIF file:
```
data_Na4GeO4
_chemical_formula_sum 'Na8 Ge2 O8'
_space_group_name_H-M_alt 'P 1'
_space_group_IT_number 1
_space_group_name_Hall 'P 1'
_cell_length_a 5.6791
_cell_length_b 5.6950
_cell_length_c 8.5962
_cell_angle_alpha 81.46
_cell_angle_beta 71.36
_cell_angle_gamma 68.22
loop_
_atom_site_label
_atom_site_fract_x
_atom_site_fract_y
_atom_site_fract_z
Na1 0.0208 0.2650 0.4348
Na2 0.1089 0.7281 0.1797
Na3 0.2593 0.2429 0.0125
Na4 0.4477 0.2408 0.6032
Na5 0.5523 0.7592 0.3968
Na6 0.7407 0.7571 0.9875
Na7 0.8911 0.2719 0.8203
Na8 0.9792 0.7350 0.5652
Ge1 0.3431 0.7215 0.7554
Ge2 0.6569 0.2785 0.2446
O1 0.1395 0.5306 0.8054
O2 0.2034 0.9742 0.6248
O3 0.3368 0.4697 0.3613
O4 0.3521 0.8456 0.9283
O5 0.6479 0.1544 0.0717
O6 0.6632 0.5303 0.6387
O7 0.7966 0.0258 0.3752
O8 0.8605 0.4694 0.1946
```

Output
Its total magnetization is 0.0 μB/cell. Its volume is 13.6 Å³/atom. For the total energy, the calculation gives -5.218 eV per atom.